The following is a DFT calculation (PBE+U) of an optimized crystal structure of Tm3WO7.

a b c (Å): 6.4048 6.4048 7.3818
angles (deg): 90.00 90.00 108.93
Last column: nearest neighbours and their distance in Å.
Element x y z (fractional)
Tm (0.0239, 0.0239, 0.0000)  6 O 2.31-2.39
Tm (0.0331, 0.5021, 0.2541)  7 O 2.19-2.39
Tm (0.4979, 0.9669, 0.2459)  7 O 2.19-2.39
Tm (0.5021, 0.0331, 0.7459)  7 O 2.19-2.39
Tm (0.9669, 0.4979, 0.7541)  7 O 2.19-2.39
Tm (0.9761, 0.9761, 0.5000)  6 O 2.31-2.39
W (0.4993, 0.4993, 0.5000)  6 O 1.97-2.02
W (0.5007, 0.5007, 0.0000)  6 O 1.97-2.02
O (0.1315, 0.8685, 0.7500)  4 Tm 2.26-2.31
O (0.1370, 0.8630, 0.2500)  4 Tm 2.19-2.34
O (0.1706, 0.4160, 0.9725)  1 W 2.01, 1 Tm 2.24
O (0.1804, 0.4352, 0.5350)  1 W 1.97
O (0.4160, 0.1706, 0.0275)  1 W 2.01, 1 Tm 2.24
O (0.4209, 0.5791, 0.2500)  2 W 2.02
O (0.4352, 0.1804, 0.4650)  1 W 1.97
O (0.5648, 0.8196, 0.9650)  1 W 1.97
O (0.5791, 0.4209, 0.7500)  2 W 2.02
O (0.5840, 0.8294, 0.5275)  1 W 2.01, 1 Tm 2.24
O (0.8196, 0.5648, 0.0350)  1 W 1.97
O (0.8294, 0.5840, 0.4725)  1 W 2.01, 1 Tm 2.24
O (0.8630, 0.1370, 0.7500)  4 Tm 2.19-2.34
O (0.8685, 0.1315, 0.2500)  4 Tm 2.26-2.31

DFT total energy (Ry/atom): -0.60476
SG: C222_1 (20)
Spin magnetization (μB per cell): 2.00